Record 1
DFT (GGA-PBE) results for crystalline Ca2GaSi2 at its relaxed geometry.

Geometry as POSCAR:
```
Ca2GaSi2
1.0
4.316 0.000 0.000
2.158 5.569 0.018
2.158 0.906 9.419
Si Ca Ga
4 4 2
direct
0.050 0.323 0.576
0.608 0.890 0.893
0.392 0.110 0.107
0.950 0.677 0.424
0.108 0.694 0.091
0.282 0.776 0.659
0.718 0.224 0.341
0.892 0.306 0.909
0.452 0.788 0.307
0.548 0.212 0.693
```

Values from the calculation:
Total magnetization   0.0 μB per formula unit
Space-group type   No. 12
E_form (uncorrected)   -2.200 eV per formula unit



Record 2
DFT (GGA-PBE) results for crystalline ThPaRe2 at its relaxed geometry.

Geometry as POSCAR:
```
ThPaRe2
1.0
-0.497 1.035 -4.382
-1.750 -3.044 -2.862
-5.514 1.155 -1.443
Re Pa Th
2 1 1
direct
0.215 0.215 0.354
0.785 0.785 0.646
0.500 0.500 0.500
0.000 0.000 0.000
```

Values from the calculation:
Total magnetization   0.0 μB per formula unit
Relative energy among the computed polymorphs   0.0 meV/atom
Energy of formation from the pure elements   152 meV per atom
Space-group type   No. 166



Record 3
DFT (GGA-PBE) results for crystalline CaNi3 at its relaxed geometry.

Geometry as POSCAR:
```
CaNi3
1.0
3.022 -0.003 0.000
0.003 3.022 0.000
0.000 0.000 6.513
Ni Ca
3 1
direct
0.500 0.500 0.686
0.000 0.000 0.500
0.500 0.500 0.314
0.000 0.000 0.000
```

Values from the calculation:
Total magnetization   0.7 μB per formula unit
Energy of formation from the pure elements   157 meV per atom
Space-group type   No. 123



Record 4
DFT (GGA-PBE) results for crystalline MnV2Cu2S6 at its relaxed geometry.

Geometry as POSCAR:
```
MnV2Cu2S6
1.0
5.719 -0.212 0.783
-3.011 4.867 0.783
-0.217 -0.374 7.028
Mn S V Cu
1 6 2 2
direct
0.000 0.000 0.500
0.383 0.383 0.273
0.617 0.617 0.727
0.724 0.066 0.312
0.276 0.934 0.688
0.066 0.724 0.312
0.934 0.276 0.688
0.631 0.369 0.500
0.369 0.631 0.500
0.843 0.157 0.000
0.157 0.843 0.000
```

Values from the calculation:
Total magnetization   1.0 μB per formula unit
Space-group type   No. 12
E_form (uncorrected)   -6.472 eV per formula unit



Record 5
DFT (GGA-PBE) results for crystalline DyHSe at its relaxed geometry.

Geometry as POSCAR:
```
DyHSe
1.0
-0.295 -0.247 3.767
-6.807 -1.377 -0.622
1.599 -7.734 -0.382
H Se Dy
4 4 4
direct
0.750 0.169 0.948
0.250 0.331 0.052
0.250 0.669 0.552
0.750 0.831 0.448
0.250 0.679 0.206
0.250 0.321 0.706
0.750 0.179 0.294
0.750 0.821 0.794
0.750 0.465 0.993
0.250 0.965 0.507
0.250 0.035 0.007
0.750 0.535 0.493
```

Values from the calculation:
Total magnetization   0.0 μB per formula unit
Space-group type   No. 62
E_tot   -61.72 eV per cell



Record 6
DFT (GGA-PBE) results for crystalline ZrCuTe2 at its relaxed geometry.

Geometry as POSCAR:
```
ZrCuTe2
1.0
-0.352 1.838 7.565
-0.921 -2.219 7.413
2.870 -0.672 7.214
Zr Te Cu
1 2 1
direct
0.481 0.481 0.481
0.043 0.043 0.043
0.224 0.224 0.224
0.751 0.751 0.751
```

Values from the calculation:
Total magnetization   0.0 μB per formula unit
Space-group type   No. 160
E_form (uncorrected)   -2.087 eV per formula unit



Record 7
DFT (GGA-PBE) results for crystalline LaOs2 at its relaxed geometry.

Geometry as POSCAR:
```
LaOs2
1.0
-5.490 1.894 1.278
-5.099 -0.315 -3.043
4.765 -2.499 2.532
Os La
2 1
direct
0.710 0.710 0.000
0.290 0.290 0.000
0.000 0.000 0.000
```

Values from the calculation:
Total magnetization   0.0 μB per formula unit
Energy of formation from the pure elements   234 meV per atom
Space-group type   No. 71



Record 8
DFT (GGA-PBE) results for crystalline Ca2NpIr2 at its relaxed geometry.

Geometry as POSCAR:
```
Ca2NpIr2
1.0
5.887 0.139 0.910
2.710 5.228 0.910
0.081 0.051 7.892
Ca Ir Np
4 4 2
direct
0.484 0.216 0.147
0.784 0.516 0.353
0.516 0.784 0.853
0.216 0.484 0.647
0.004 0.717 0.007
0.283 0.996 0.493
0.996 0.283 0.993
0.717 0.004 0.507
0.886 0.114 0.750
0.114 0.886 0.250
```

Values from the calculation:
Total magnetization   3.3 μB per formula unit
Energy of formation from the pure elements   -321 meV per atom
Space-group type   No. 15



Record 9
DFT (GGA-PBE) results for crystalline Pa4Ga5Re2 at its relaxed geometry.

Geometry as POSCAR:
```
Pa4Ga5Re2
1.0
-0.671 -2.817 1.576
7.056 -1.143 0.961
-0.982 4.870 8.289
Re Pa Ga
2 4 5
direct
0.000 0.929 0.350
0.000 0.071 0.650
0.500 0.749 0.549
0.500 0.841 0.121
0.500 0.251 0.451
0.500 0.159 0.879
0.000 0.446 0.704
0.000 0.554 0.296
0.000 0.795 0.835
0.000 0.205 0.165
0.000 0.500 0.000
```

Values from the calculation:
Total magnetization   0.0 μB per formula unit
Energy of formation from the pure elements   -218 meV per atom
Space-group type   No. 10



Record 10
DFT (GGA-PBE) results for crystalline TiAs3P at its relaxed geometry.

Geometry as POSCAR:
```
TiAs3P
1.0
-1.701 0.643 4.494
-3.163 -3.610 -0.680
3.256 -3.170 1.687
As P Ti
3 1 1
direct
0.500 0.000 0.000
0.000 0.500 0.000
0.000 0.000 0.500
0.500 0.500 0.500
0.000 0.000 0.000
```

Values from the calculation:
Total magnetization   0.0 μB per formula unit
Relative energy among the computed polymorphs   0.0 meV/atom
Energy of formation from the pure elements   554 meV per atom
Space-group type   No. 221



Record 11
DFT (GGA-PBE) results for crystalline NdTlSn at its relaxed geometry.

Geometry as POSCAR:
```
NdTlSn
1.0
-3.008 -0.283 3.243
3.242 -0.661 2.949
0.392 5.804 0.871
Nd Sn Tl
1 1 1
direct
0.000 0.000 0.000
0.500 0.500 0.000
0.500 0.500 0.500
```

Values from the calculation:
Total magnetization   0.0 μB per formula unit
Relative energy among the computed polymorphs   438.1 meV/atom
Energy of formation from the pure elements   -36 meV per atom
Space-group type   No. 123



Record 12
DFT (GGA-PBE) results for crystalline ZrHgW2 at its relaxed geometry.

Geometry as POSCAR:
```
ZrHgW2
1.0
-0.647 3.701 -3.878
-4.535 -2.444 1.617
-0.371 1.978 1.950
W Zr Hg
2 1 1
direct
0.500 0.500 0.000
0.000 0.000 0.000
0.500 0.000 0.500
0.000 0.500 0.500
```

Values from the calculation:
Total magnetization   0.0 μB per formula unit
Energy of formation from the pure elements   574 meV per atom
Space-group type   No. 65